# Ce2Nd3YSe6 (PBE, optimized geometry)
data_Ce2Nd3YSe6
_cell_length_a 7.257
_cell_length_b 12.589
_cell_length_c 7.286
_cell_angle_alpha 90.00
_cell_angle_beta 109.48
_cell_angle_gamma 90.00
_symmetry_space_group_name_H-M 'C 1 2/m 1'
_symmetry_Int_Tables_number 12
_symmetry_space_group_name_Hall '-C 2y'
loop_
_atom_site_label
_atom_site_fract_x
_atom_site_fract_y
_atom_site_fract_z
Ce1 0.000 0.166 0.000
Nd1 0.000 0.000 0.500
Nd2 0.000 0.333 0.500
Y1 0.000 0.500 0.000
Se1 0.245 0.336 0.244
Se2 0.246 0.500 0.755
# Formation energy from raw total energies: -1.826 eV/atom
# Magnetic moment: 1.8 μB per formula unit
# Total DFT energy (no corrections): -6.29 eV/atom
# V: 627.5 Å³ per cell


# CeNd2YSe4 (PBE, optimized geometry)
data_CeNd2YSe4
_cell_length_a 7.260
_cell_length_b 4.158
_cell_length_c 7.281
_cell_angle_alpha 90.00
_cell_angle_beta 109.07
_cell_angle_gamma 90.00
_symmetry_space_group_name_H-M 'P 1 2/m 1'
_symmetry_Int_Tables_number 10
_symmetry_space_group_name_Hall '-P 2y'
loop_
_atom_site_label
_atom_site_fract_x
_atom_site_fract_y
_atom_site_fract_z
Ce1 0.000 0.000 0.000
Nd1 0.500 0.000 0.500
Nd2 0.500 0.500 0.000
Y1 0.000 0.500 0.500
Se1 0.240 0.000 0.742
Se2 0.244 0.500 0.253
# Formation energy from raw total energies: -1.820 eV/atom
# Magnetic moment: 0.9 μB per formula unit
# Total DFT energy (no corrections): -6.30 eV/atom
# V: 207.7 Å³ per cell


# Ce3Nd4YSe8 (PBE, optimized geometry)
data_Ce3Nd4YSe8
_cell_length_a 14.545
_cell_length_b 8.409
_cell_length_c 8.402
_cell_angle_alpha 90.00
_cell_angle_beta 125.19
_cell_angle_gamma 90.00
_symmetry_space_group_name_H-M 'C 1 2/m 1'
_symmetry_Int_Tables_number 12
_symmetry_space_group_name_Hall '-C 2y'
loop_
_atom_site_label
_atom_site_fract_x
_atom_site_fract_y
_atom_site_fract_z
Ce1 0.000 0.000 0.000
Ce2 0.250 0.250 0.000
Nd1 0.000 0.000 0.500
Nd2 0.000 0.500 0.500
Nd3 0.250 0.250 0.500
Y1 0.000 0.500 0.000
Se1 0.001 0.253 0.756
Se2 0.246 0.500 0.244
Se3 0.249 0.000 0.248
# Formation energy from raw total energies: -1.828 eV/atom
# Magnetic moment: 2.8 μB per formula unit
# Total DFT energy (no corrections): -6.28 eV/atom
# V: 839.8 Å³ per cell


# CeNdY2Se6 (PBE, optimized geometry)
data_CeNdY2Se6
_cell_length_a 7.3667
_cell_length_b 7.3667
_cell_length_c 19.6070
_cell_angle_alpha 90.00
_cell_angle_beta 90.00
_cell_angle_gamma 120.00
_symmetry_space_group_name_H-M 'R 3'
_symmetry_Int_Tables_number 146
_symmetry_space_group_name_Hall 'R 3'
loop_
_atom_site_label
_atom_site_fract_x
_atom_site_fract_y
_atom_site_fract_z
Ce1 0.0000 0.0000 0.0000
Nd1 0.0000 0.0000 0.5004
Y1 0.0000 0.0000 0.2999
Y2 0.0000 0.0000 0.7998
Se1 0.0183 0.3100 0.8958
Se2 0.0198 0.7099 0.3958
# Formation energy from raw total energies: -1.827 eV/atom
# Magnetic moment: 1.0 μB per formula unit
# Total DFT energy (no corrections): -6.28 eV/atom
# V: 921.5 Å³ per cell


# CeNd5Si4 (PBE, optimized geometry)
data_CeNd5Si4
_cell_length_a 15.582
_cell_length_b 5.102
_cell_length_c 6.992
_cell_angle_alpha 90.00
_cell_angle_beta 90.86
_cell_angle_gamma 90.00
_symmetry_space_group_name_H-M 'C 1 2/m 1'
_symmetry_Int_Tables_number 12
_symmetry_space_group_name_Hall '-C 2y'
loop_
_atom_site_label
_atom_site_fract_x
_atom_site_fract_y
_atom_site_fract_z
Ce1 0.000 0.000 0.000
Nd1 0.000 0.000 0.500
Nd2 0.164 0.500 0.489
Nd3 0.166 0.500 0.003
Si1 0.009 0.500 0.753
Si2 0.177 0.000 0.249
# Formation energy from raw total energies: -0.466 eV/atom
# Magnetic moment: 0.9 μB per formula unit
# Total DFT energy (no corrections): -5.61 eV/atom
# V: 555.7 Å³ per cell


# CeNd4Si4 (PBE, optimized geometry)
data_CeNd4Si4
_cell_length_a 9.087
_cell_length_b 9.087
_cell_length_c 5.995
_cell_angle_alpha 90.00
_cell_angle_beta 90.00
_cell_angle_gamma 90.00
_symmetry_space_group_name_H-M 'P 42/n'
_symmetry_Int_Tables_number 86
loop_
_symmetry_equiv_pos_as_xyz
'x,y,z'
'-x,-y,-z'
'-y,x+1/2,z+1/2'
'y,-x+1/2,-z+1/2'
'-x+1/2,-y+1/2,z'
'x+1/2,y+1/2,-z'
'y+1/2,-x,z+1/2'
'-y+1/2,x,-z+1/2'
loop_
_atom_site_label
_atom_site_fract_x
_atom_site_fract_y
_atom_site_fract_z
Ce1 0.250 0.250 0.250
Nd1 0.052 0.672 0.117
Si1 0.013 0.616 0.607
# Formation energy from raw total energies: -0.412 eV/atom
# Magnetic moment: 1.1 μB per formula unit
# Total DFT energy (no corrections): -5.60 eV/atom
# V: 495.1 Å³ per cell


# Ce5Nd5Si6 (PBE, optimized geometry)
data_Ce5Nd5Si6
_cell_length_a 10.707
_cell_length_b 10.777
_cell_length_c 8.834
_cell_angle_alpha 90.00
_cell_angle_beta 126.34
_cell_angle_gamma 90.00
_symmetry_space_group_name_H-M 'C 1 m 1'
_symmetry_Int_Tables_number 8
_symmetry_space_group_name_Hall 'C -2y'
loop_
_atom_site_label
_atom_site_fract_x
_atom_site_fract_y
_atom_site_fract_z
Ce1 0.000 0.000 0.000
Ce2 0.042 0.238 0.203
Ce3 0.165 0.320 0.993
Nd1 0.138 0.500 0.565
Nd2 0.273 0.000 0.549
Nd3 0.344 0.000 0.975
Nd4 0.455 0.319 0.557
Si1 0.195 0.500 0.275
Si2 0.311 0.252 0.773
Si3 0.324 0.116 0.274
Si4 0.425 0.500 0.274
# Formation energy from raw total energies: -0.560 eV/atom
# Magnetic moment: 3.8 μB per formula unit
# Total DFT energy (no corrections): -5.94 eV/atom
# V: 821.1 Å³ per cell


# Ce2NdSi2 (PBE, optimized geometry)
data_Ce2NdSi2
_cell_length_a 5.602
_cell_length_b 4.226
_cell_length_c 11.461
_cell_angle_alpha 90.00
_cell_angle_beta 102.75
_cell_angle_gamma 90.00
_symmetry_space_group_name_H-M 'P 1 21/m 1'
_symmetry_Int_Tables_number 11
_symmetry_space_group_name_Hall '-P 2yb'
loop_
_atom_site_label
_atom_site_fract_x
_atom_site_fract_y
_atom_site_fract_z
Ce1 0.067 0.250 0.372
Ce2 0.181 0.250 0.016
Nd1 0.474 0.250 0.725
Si1 0.284 0.750 0.865
Si2 0.382 0.750 0.521
# Excess energy over the best structure of this formula in the dataset: 89.2 kJ/mol of formula units
# Formation energy from raw total energies: -0.383 eV/atom
# Magnetic moment: 2.0 μB per formula unit
# Total DFT energy (no corrections): -5.88 eV/atom
# V: 264.6 Å³ per cell


# Ce3NdSi3 (PBE, optimized geometry)
data_Ce3NdSi3
_cell_length_a 8.8453
_cell_length_b 8.8453
_cell_length_c 17.5178
_cell_angle_alpha 90.00
_cell_angle_beta 90.00
_cell_angle_gamma 120.00
_symmetry_space_group_name_H-M 'R -3'
_symmetry_Int_Tables_number 148
_symmetry_space_group_name_Hall '-R 3'
loop_
_atom_site_label
_atom_site_fract_x
_atom_site_fract_y
_atom_site_fract_z
Ce1 0.0070 0.7302 0.0939
Nd1 0.0000 0.0000 0.3339
Si1 0.0036 0.6290 0.9277
# Formation energy from raw total energies: -0.391 eV/atom
# Magnetic moment: 2.4 μB per formula unit
# Total DFT energy (no corrections): -5.94 eV/atom
# V: 1186.9 Å³ per cell


# Ce3NdSi2 (PBE, optimized geometry)
data_Ce3NdSi2
_cell_length_a 17.459
_cell_length_b 4.500
_cell_length_c 8.417
_cell_angle_alpha 90.00
_cell_angle_beta 113.73
_cell_angle_gamma 90.00
_symmetry_space_group_name_H-M 'C 1 2/m 1'
_symmetry_Int_Tables_number 12
_symmetry_space_group_name_Hall '-C 2y'
loop_
_atom_site_label
_atom_site_fract_x
_atom_site_fract_y
_atom_site_fract_z
Ce1 0.051 0.000 0.173
Ce2 0.148 0.500 0.004
Ce3 0.187 0.500 0.366
Nd1 0.112 0.000 0.643
Si1 0.010 0.500 0.364
Si2 0.248 0.500 0.774
# Formation energy from raw total energies: -0.422 eV/atom
# Magnetic moment: 1.3 μB per formula unit
# Total DFT energy (no corrections): -5.99 eV/atom
# V: 605.4 Å³ per cell


# Ce3NdSi4 (PBE, optimized geometry)
data_Ce3NdSi4
_cell_length_a 3.974
_cell_length_b 6.458
_cell_length_c 15.974
_cell_angle_alpha 90.00
_cell_angle_beta 90.00
_cell_angle_gamma 90.00
_symmetry_space_group_name_H-M 'I m m m'
_symmetry_Int_Tables_number 71
_symmetry_space_group_name_Hall '-I 2 2'
loop_
_atom_site_label
_atom_site_fract_x
_atom_site_fract_y
_atom_site_fract_z
Ce1 0.000 0.000 0.000
Ce2 0.000 0.500 0.196
Nd1 0.000 0.000 0.500
Si1 0.000 0.317 0.368
# Formation energy from raw total energies: -0.471 eV/atom
# Magnetic moment: 1.0 μB per formula unit
# Total DFT energy (no corrections): -6.00 eV/atom
# V: 409.9 Å³ per cell


# Ce3Nd2Si4 (PBE, optimized geometry)
data_Ce3Nd2Si4
_cell_length_a 7.784
_cell_length_b 7.809
_cell_length_c 7.703
_cell_angle_alpha 90.00
_cell_angle_beta 106.34
_cell_angle_gamma 90.00
_symmetry_space_group_name_H-M 'P 1 21/c 1'
_symmetry_Int_Tables_number 14
_symmetry_space_group_name_Hall '-P 2ybc'
loop_
_atom_site_label
_atom_site_fract_x
_atom_site_fract_y
_atom_site_fract_z
Ce1 0.000 0.000 0.000
Ce2 0.255 0.187 0.749
Nd1 0.297 0.682 0.911
Si1 0.008 0.614 0.118
Si2 0.420 0.026 0.115
# Formation energy from raw total energies: -0.636 eV/atom
# Magnetic moment: 2.5 μB per formula unit
# Total DFT energy (no corrections): -6.08 eV/atom
# V: 449.3 Å³ per cell


# Ce2NdSi2 (PBE, optimized geometry)
data_Ce2NdSi2
_cell_length_a 7.702
_cell_length_b 7.702
_cell_length_c 4.226
_cell_angle_alpha 90.00
_cell_angle_beta 90.00
_cell_angle_gamma 90.00
_symmetry_space_group_name_H-M 'P 4/m b m'
_symmetry_Int_Tables_number 127
_symmetry_space_group_name_Hall '-P 4 2ab'
loop_
_atom_site_label
_atom_site_fract_x
_atom_site_fract_y
_atom_site_fract_z
Ce1 0.178 0.322 0.000
Nd1 0.000 0.000 0.500
Si1 0.112 0.612 0.500
# Excess energy over the best structure of this formula in the dataset: 0.0 kJ/mol of formula units
# Formation energy from raw total energies: -0.568 eV/atom
# Magnetic moment: 1.6 μB per formula unit
# Total DFT energy (no corrections): -6.06 eV/atom
# V: 250.7 Å³ per cell


# Ce2Nd5Si4 (PBE, optimized geometry)
data_Ce2Nd5Si4
_cell_length_a 25.127
_cell_length_b 3.803
_cell_length_c 6.866
_cell_angle_alpha 90.00
_cell_angle_beta 91.82
_cell_angle_gamma 90.00
_symmetry_space_group_name_H-M 'C 1 2/m 1'
_symmetry_Int_Tables_number 12
_symmetry_space_group_name_Hall '-C 2y'
loop_
_atom_site_label
_atom_site_fract_x
_atom_site_fract_y
_atom_site_fract_z
Ce1 0.096 0.000 0.195
Nd1 0.000 0.500 0.500
Nd2 0.132 0.000 0.699
Nd3 0.234 0.000 0.241
Si1 0.021 0.000 0.849
Si2 0.170 0.500 0.001
# Formation energy from raw total energies: -0.185 eV/atom
# Magnetic moment: 2.3 μB per formula unit
# Total DFT energy (no corrections): -5.40 eV/atom
# V: 655.7 Å³ per cell


# CeNd2Si6 (PBE, optimized geometry)
data_CeNd2Si6
_cell_length_a 7.1150
_cell_length_b 7.1150
_cell_length_c 4.1668
_cell_angle_alpha 90.00
_cell_angle_beta 90.00
_cell_angle_gamma 120.00
_symmetry_space_group_name_H-M 'P 6/m m m'
_symmetry_Int_Tables_number 191
_symmetry_space_group_name_Hall '-P 6 2'
loop_
_atom_site_label
_atom_site_fract_x
_atom_site_fract_y
_atom_site_fract_z
Ce1 0.0000 0.0000 0.0000
Nd1 0.3333 0.6667 0.0000
Si1 0.0000 0.3321 0.5000
# Formation energy from raw total energies: -0.611 eV/atom
# Magnetic moment: 0.0 μB per formula unit
# Total DFT energy (no corrections): -5.95 eV/atom
# V: 182.7 Å³ per cell


# CeNdSi4 (PBE, optimized geometry)
data_CeNdSi4
_cell_length_a 7.639
_cell_length_b 7.639
_cell_length_c 7.639
_cell_angle_alpha 90.00
_cell_angle_beta 90.00
_cell_angle_gamma 90.00
_symmetry_space_group_name_H-M 'F -4 3 m'
_symmetry_Int_Tables_number 216
_symmetry_space_group_name_Hall 'F -4 2 3'
loop_
_atom_site_label
_atom_site_fract_x
_atom_site_fract_y
_atom_site_fract_z
Ce1 0.000 0.000 0.000
Nd1 0.250 0.250 0.250
Si1 0.124 0.124 0.624
# Excess energy over the best structure of this formula in the dataset: 156.9 kJ/mol of formula units
# Formation energy from raw total energies: -0.348 eV/atom
# Magnetic moment: 0.0 μB per formula unit
# Total DFT energy (no corrections): -5.75 eV/atom
# V: 445.8 Å³ per cell


# Ce4Nd3Si4 (PBE, optimized geometry)
data_Ce4Nd3Si4
_cell_length_a 3.915
_cell_length_b 8.486
_cell_length_c 17.298
_cell_angle_alpha 90.00
_cell_angle_beta 90.00
_cell_angle_gamma 90.00
_symmetry_space_group_name_H-M 'I m m m'
_symmetry_Int_Tables_number 71
_symmetry_space_group_name_Hall '-I 2 2'
loop_
_atom_site_label
_atom_site_fract_x
_atom_site_fract_y
_atom_site_fract_z
Ce1 0.000 0.164 0.171
Nd1 0.000 0.000 0.405
Nd2 0.000 0.500 0.500
Si1 0.000 0.276 0.000
Si2 0.000 0.500 0.227
# Formation energy from raw total energies: -0.491 eV/atom
# Magnetic moment: 2.0 μB per formula unit
# Total DFT energy (no corrections): -5.92 eV/atom
# V: 574.6 Å³ per cell


# CeNdSi4 (PBE, optimized geometry)
data_CeNdSi4
_cell_length_a 4.023
_cell_length_b 7.222
_cell_length_c 8.326
_cell_angle_alpha 90.00
_cell_angle_beta 90.00
_cell_angle_gamma 90.00
_symmetry_space_group_name_H-M 'I m m m'
_symmetry_Int_Tables_number 71
_symmetry_space_group_name_Hall '-I 2 2'
loop_
_atom_site_label
_atom_site_fract_x
_atom_site_fract_y
_atom_site_fract_z
Ce1 0.000 0.000 0.000
Nd1 0.000 0.000 0.500
Si1 0.000 0.335 0.253
# Excess energy over the best structure of this formula in the dataset: 0.0 kJ/mol of formula units
# Formation energy from raw total energies: -0.619 eV/atom
# Magnetic moment: 0.0 μB per formula unit
# Total DFT energy (no corrections): -6.02 eV/atom
# V: 241.9 Å³ per cell


# Ce2Nd3Si4 (PBE, optimized geometry)
data_Ce2Nd3Si4
_cell_length_a 7.878
_cell_length_b 7.923
_cell_length_c 7.717
_cell_angle_alpha 90.00
_cell_angle_beta 105.16
_cell_angle_gamma 90.00
_symmetry_space_group_name_H-M 'P 1 21/c 1'
_symmetry_Int_Tables_number 14
_symmetry_space_group_name_Hall '-P 2ybc'
loop_
_atom_site_label
_atom_site_fract_x
_atom_site_fract_y
_atom_site_fract_z
Ce1 0.204 0.184 0.095
Nd1 0.240 0.683 0.254
Nd2 0.500 0.000 0.500
Si1 0.083 0.521 0.887
Si2 0.491 0.114 0.885
# Formation energy from raw total energies: -0.620 eV/atom
# Magnetic moment: 3.6 μB per formula unit
# Total DFT energy (no corrections): -5.94 eV/atom
# V: 464.9 Å³ per cell


# Ce2Nd2Si3 (PBE, optimized geometry)
data_Ce2Nd2Si3
_cell_length_a 13.696
_cell_length_b 4.228
_cell_length_c 7.291
_cell_angle_alpha 90.00
_cell_angle_beta 99.56
_cell_angle_gamma 90.00
_symmetry_space_group_name_H-M 'C 1 2/m 1'
_symmetry_Int_Tables_number 12
_symmetry_space_group_name_Hall '-C 2y'
loop_
_atom_site_label
_atom_site_fract_x
_atom_site_fract_y
_atom_site_fract_z
Ce1 0.126 0.000 0.381
Nd1 0.128 0.500 0.873
Si1 0.000 0.500 0.500
Si2 0.247 0.500 0.254
# Formation energy from raw total energies: -0.390 eV/atom
# Magnetic moment: 1.6 μB per formula unit
# Total DFT energy (no corrections): -5.77 eV/atom
# V: 416.3 Å³ per cell


# Ce2NdZn2Si2 (PBE, optimized geometry)
data_Ce2NdZn2Si2
_cell_length_a 4.2504
_cell_length_b 4.2504
_cell_length_c 28.0976
_cell_angle_alpha 90.00
_cell_angle_beta 90.00
_cell_angle_gamma 120.00
_symmetry_space_group_name_H-M 'R -3 m'
_symmetry_Int_Tables_number 166
_symmetry_space_group_name_Hall '-R 3 2"'
loop_
_atom_site_label
_atom_site_fract_x
_atom_site_fract_y
_atom_site_fract_z
Ce1 0.0000 0.0000 0.1416
Nd1 0.0000 0.0000 0.0000
Zn1 0.0000 0.0000 0.4055
Si1 0.0000 0.0000 0.2608
# Formation energy from raw total energies: -0.423 eV/atom
# Magnetic moment: 1.9 μB per formula unit
# Total DFT energy (no corrections): -4.71 eV/atom
# V: 439.6 Å³ per cell